Density functional theory data (PBE-GGA) for a geometry-optimized Na5B8C2 structure.

Properties
Calculated total energy ... -5.029 eV/atom

abc: 7.8251 7.8272 8.6552
angles: 90.00 90.00 142.53
With the nearest neighbours (Å) after each atom.
Fractional coordinates of all 30 atoms:
1 Na 0.1958 0.7971 0.0010  10 B 2.70-2.87, 2 C 2.70-2.77, 6 Na 2.91-2.98
2 Na 0.1958 0.7971 0.4990  10 B 2.70-2.87, 2 C 2.70-2.77, 6 Na 2.91-2.98
3 Na 0.4024 0.6020 0.0027  3 C 2.71-2.79, 9 B 2.72-2.79, 6 Na 2.91-2.98
4 Na 0.4024 0.6020 0.4973  3 C 2.71-2.79, 9 B 2.72-2.79, 6 Na 2.91-2.98
5 Na 0.0009 0.0016 0.0007  10 B 2.64-2.87, 2 C 2.74-2.79, 6 Na 2.90-2.96
6 Na 0.0009 0.0016 0.4993  10 B 2.64-2.87, 2 C 2.74-2.79, 6 Na 2.90-2.96
7 Na 0.5970 0.3964 0.9998  11 B 2.66-2.86, 1 C 2.81, 6 Na 2.90-2.97
8 Na 0.5970 0.3964 0.5002  11 B 2.66-2.86, 1 C 2.81, 6 Na 2.90-2.97
9 Na 0.8013 0.2008 0.0006  8 B 2.70-2.81, 4 C 2.71-2.74, 6 Na 2.91-2.96
10 Na 0.8013 0.2008 0.4994  8 B 2.70-2.81, 4 C 2.71-2.74, 6 Na 2.91-2.96
11 B 0.1376 0.5426 0.7500  3 B 1.66-1.74
12 B 0.1374 0.5372 0.2500  3 C 1.63-1.69
13 B 0.4926 0.8739 0.7500  1 C 1.57, 1 B 1.73
14 B 0.3424 0.3375 0.7500  3 B 1.66-1.74
15 B 0.6826 0.6797 0.2500  2 B 1.69-1.77
16 B 0.2975 0.3120 0.2500  1 C 1.59, 1 B 1.69
17 B 0.6740 0.6931 0.7500  1 C 1.57, 1 B 1.74
18 B 0.9155 0.7121 0.7500  3 B 1.70-1.77
19 B 0.2793 0.0820 0.2500  2 B 1.69-1.77
20 B 0.9111 0.6953 0.2500  1 C 1.58, 1 B 1.69
21 B 0.2535 0.0619 0.7500  3 B 1.66-1.73
22 B 0.5119 0.1158 0.7500  3 B 1.71-1.78
23 B 0.5411 0.1293 0.2500  2 C 1.62-1.70, 1 B 1.77
24 B 0.8618 0.4542 0.7500  3 B 1.66-1.73
25 B 0.7310 0.9420 0.2500  2 C 1.62-1.69, 1 B 1.77
26 B 0.0704 0.2703 0.7500  1 C 1.63, 2 B 1.74
27 C 0.4737 0.8735 0.2500  3 B 1.62-1.69
28 C 0.8777 0.4676 0.2500  3 B 1.58-1.70
29 C 0.7454 0.9456 0.7500  3 B 1.57-1.63
30 C 0.0687 0.2785 0.2500  3 B 1.59-1.69